Rb2CIBr6, relaxed, DFT PBE; space-group type = I4/mmm (139); N(E_F) = 0.39 states/eV/atom
1.0
-1.303 5.734 -5.005
-7.314 -2.347 -0.785
-5.773 4.902 1.162
I C Br Rb
1 1 6 2
Cartesian
0.000 0.000 0.000
-4.308 1.694 -2.895
-4.968 3.139 -1.067
-9.422 5.151 -3.560
-2.412 0.948 -1.621
-6.205 2.439 -4.169
-2.985 3.472 -3.824
-5.632 -0.085 -1.966
-5.692 6.165 -3.369
-8.698 2.125 -1.259

RuCI2Br, relaxed, DFT PBE; space-group type = P4/mmm (123); N(E_F) = 0.67 states/eV/atom
1.0
5.301 0.000 0.000
0.000 4.267 0.000
0.000 0.000 5.301
I Ru C Br
2 1 1 1
Cartesian
0.000 0.000 2.650
2.650 0.000 0.000
2.650 2.133 2.650
0.000 0.000 0.000
0.000 2.133 0.000

SbCI2Br, relaxed, DFT PBE; space-group type = P4/mmm (123); N(E_F) = 1.55 states/eV/atom
1.0
6.002 0.000 0.000
0.000 6.002 0.000
0.000 0.000 5.805
I Sb C Br
2 1 1 1
Cartesian
0.000 3.001 0.000
3.001 0.000 0.000
0.000 0.000 2.902
3.001 3.001 2.902
0.000 0.000 0.000

Sb2CIBr, relaxed, DFT PBE; space-group type = P4/mmm (123); N(E_F) = 0.63 states/eV/atom
1.0
4.940 0.000 0.000
0.000 4.940 0.000
0.000 0.000 5.096
I Sb C Br
1 2 1 1
Cartesian
0.000 0.000 2.548
0.000 2.470 0.000
2.470 0.000 0.000
0.000 0.000 0.000
2.470 2.470 2.548

Sb2CIBr, relaxed, DFT PBE; space-group type = P4/mmm (123); N(E_F) = 1.11 states/eV/atom
1.0
5.700 0.000 0.000
0.000 5.700 0.000
0.000 0.000 5.748
I Sb C Br
1 2 1 1
Cartesian
0.000 0.000 2.874
0.000 2.850 0.000
2.850 0.000 0.000
2.850 2.850 2.874
0.000 0.000 0.000

SbCI2Br, relaxed, DFT PBE; space-group type = P4/mmm (123); N(E_F) = 0.58 states/eV/atom
1.0
5.173 0.000 0.000
0.000 5.173 0.000
0.000 0.000 4.875
I Sb C Br
2 1 1 1
Cartesian
0.000 2.586 0.000
2.586 0.000 0.000
0.000 0.000 2.438
0.000 0.000 0.000
2.586 2.586 2.438

CSe2IBr, relaxed, DFT PBE; space-group type = P4/mmm (123); N(E_F) = 1.43 states/eV/atom
1.0
5.457 0.000 0.000
0.000 5.457 0.000
0.000 0.000 5.664
I C Se Br
1 1 2 1
Cartesian
0.000 0.000 0.000
2.728 2.728 2.832
0.000 2.728 0.000
2.728 0.000 0.000
0.000 0.000 2.832

CSe2IBr, relaxed, DFT PBE; space-group type = P4/mmm (123); N(E_F) = 0.71 states/eV/atom
1.0
4.664 0.000 0.000
0.000 4.664 0.000
0.000 0.000 4.735
I C Se Br
1 1 2 1
Cartesian
2.332 2.332 2.367
0.000 0.000 0.000
0.000 2.332 0.000
2.332 0.000 0.000
0.000 0.000 2.367

Number 1: ΔE_f (raw) -222 meV/atom, calculated volume 320.56 Å³ per cell. Number 2: ΔE_f (raw) 1714 meV/atom, calculated volume 119.87 Å³ per cell. Number 3: ΔE_f (raw) 1998 meV/atom, calculated volume 209.14 Å³ per cell. Number 4: ΔE_f (raw) 1002 meV/atom, calculated volume 124.35 Å³ per cell. Number 5: ΔE_f (raw) 2170 meV/atom, calculated volume 186.76 Å³ per cell. Number 6: ΔE_f (raw) 1043 meV/atom, calculated volume 130.45 Å³ per cell. Number 7: ΔE_f (raw) 2039 meV/atom, calculated volume 168.65 Å³ per cell. Number 8: ΔE_f (raw) 1222 meV/atom, calculated volume 102.97 Å³ per cell.